1.
Cs2NbI5, optimized geometry, DFT PBE; symmetry = I4mm (107); ΔE_f (raw) = -0.93 eV per atom
1.0
-8.8315 0.2419 0.1675
-0.2882 -8.1839 -3.3210
4.5990 1.9556 6.5418
Cs Nb I
2 1 5
Direct
0.2649 0.7649 0.5297 Cs
0.7649 0.2649 0.5297 Cs
0.9663 0.9664 0.9327 Nb
0.7927 0.2396 0.0322 I
0.2395 0.2395 0.0322 I
0.7927 0.7927 0.0322 I
0.2396 0.7927 0.0323 I
0.7165 0.7165 0.4330 I

2.
PmGd2Ge, optimized geometry, DFT PBE; symmetry = P4/mmm (123); DFT formation energy = -333 meV per atom
1.0
-2.2150 -1.3377 -2.8652
3.0384 -1.8694 -1.4760
-1.7013 -6.0246 4.1280
Ge Gd Pm
1 2 1
Direct
0.5000 0.5000 0.5000 Ge
0.0000 0.0000 0.6985 Gd
0.0000 0.0000 0.3015 Gd
0.5000 0.5000 0.0000 Pm

3.
NaZnAs2O8, optimized geometry, DFT PBE; symmetry = P-3 (147); ΔE_f (raw) = -0.87 eV per atom
1.0
-3.6053 3.1609 -2.9875
1.0827 -5.3128 -1.5864
-4.7198 -2.0234 3.5549
Na Zn As O
1 1 2 8
Direct
0.0000 0.0000 0.5000 Na
0.0000 0.0000 0.0000 Zn
0.6667 0.3333 0.8681 As
0.3333 0.6667 0.1319 As
0.8803 0.6647 0.7873 O
0.3353 0.2157 0.7873 O
0.7843 0.1197 0.7873 O
0.1197 0.3353 0.2127 O
0.6647 0.7843 0.2127 O
0.2157 0.8803 0.2127 O
0.6667 0.3333 0.1525 O
0.3333 0.6667 0.8475 O

4.
Lu2ScTc, optimized geometry, DFT PBE; symmetry = P4/mmm (123); DFT formation energy = -27 meV per atom
1.0
-2.9901 0.7065 1.4535
-0.4175 -3.2908 0.7407
3.7383 1.1327 7.1396
Sc Lu Tc
1 2 1
Direct
0.5000 0.5000 0.5000 Sc
0.0000 0.0000 0.8036 Lu
0.0000 0.0000 0.1964 Lu
0.5000 0.5000 0.0000 Tc

5.
TaCu2Cl, optimized geometry, DFT PBE; symmetry = F-43m (216); ΔE_f (raw) = 0.54 eV per atom
1.0
4.3598 0.0000 0.0000
2.1799 3.7757 0.0000
2.1799 1.2586 3.5597
Cl Cu Ta
1 2 1
Direct
0.5000 0.5000 0.5000 Cl
0.0000 0.0000 0.0000 Cu
0.7500 0.7500 0.7500 Cu
0.2500 0.2500 0.2500 Ta

6.
AcSm2HoBi4, optimized geometry, DFT PBE; symmetry = P2/m (10); DFT formation energy = -893 meV per atom
1.0
-3.8351 0.7984 -2.4579
-0.6791 -7.8412 -1.4875
-4.3915 -3.4240 5.7399
Ac Sm Ho Bi
1 2 1 4
Direct
0.5000 0.5000 0.0000 Ac
0.0000 0.0000 0.0000 Sm
0.5000 0.0000 0.5000 Sm
0.0000 0.5000 0.5000 Ho
0.0000 0.7597 0.7358 Bi
0.0000 0.2403 0.2642 Bi
0.5000 0.7514 0.2602 Bi
0.5000 0.2486 0.7398 Bi

7.
BeBr2Cl, optimized geometry, DFT PBE; symmetry = R3m (160); ΔE_f (raw) = -0.53 eV per atom
1.0
11.2975 0.0719 0.0422
10.7919 3.3427 0.0422
10.7919 1.6682 2.8970
Be Br Cl
1 2 1
Direct
0.7528 0.7528 0.7528 Be
0.0429 0.0429 0.0429 Br
0.2483 0.2483 0.2483 Br
0.4561 0.4561 0.4561 Cl

8.
Li12Ga3Ag, optimized geometry, DFT PBE; symmetry = P4/mmm (123); DFT formation energy = -155 meV per atom
1.0
-3.2551 0.9471 -2.1177
-2.2687 -0.5381 3.2466
2.0264 16.0970 4.0843
Li Ga Ag
12 3 1
Direct
0.5000 0.5000 0.0000 Li
0.5000 0.5000 0.2476 Li
0.5000 0.5000 0.5000 Li
0.5000 0.5000 0.7524 Li
0.5000 0.0000 0.1229 Li
0.5000 0.0000 0.3730 Li
0.5000 0.0000 0.6270 Li
0.5000 0.0000 0.8771 Li
0.0000 0.5000 0.1229 Li
0.0000 0.5000 0.3730 Li
0.0000 0.5000 0.6270 Li
0.0000 0.5000 0.8771 Li
0.0000 0.0000 0.2497 Ga
0.0000 0.0000 0.5000 Ga
0.0000 0.0000 0.7503 Ga
0.0000 0.0000 0.0000 Ag

Volume: 418.4, 111.8, 172.6, 94.0, 58.6, 279.4, 105.6, 267.3 (Å³ per cell)
Total DFT energy (no corrections): -3.3673, -9.7150, -5.1676, -6.4623, -4.9322, -5.0995, -2.7624, -2.3357 (eV per atom)